DFT (GGA-PBEsol) results for an optimized crystal structure of ZrPb3Cl.

Results
SG	No. 221
energy relative to the elements, uncorrected	0.5236	eV per atom
DFT total energy	-20.48	eV/cell

abc: 5.2822 5.2822 5.2822
angles: 90.00 90.00 90.00
Fractional positions:
1 Zr 0.0000 0.0000 0.0000
2 Pb 0.0000 0.5000 0.5000
3 Pb 0.5000 0.0000 0.5000
4 Pb 0.5000 0.5000 0.0000
5 Cl 0.5000 0.5000 0.5000